Entry 1:
Density functional theory data (PBE) for a relaxed structure of Cs2HfI4.

Calculated values
The calculation puts the total DFT energy (no corrections) at -0.259 Ry per atom. As for the density of states at the Fermi level: 0.506 states/eV per atom.

```
data_Cs2HfI4
_chemical_formula_sum 'Cs4 Hf2 I8'
_cell_length_a 5.839
_cell_length_b 5.839
_cell_length_c 19.216
_cell_angle_alpha 90.00
_cell_angle_beta 90.00
_cell_angle_gamma 90.00
_symmetry_space_group_name_H-M 'I 4/m m m'
_symmetry_Int_Tables_number 139
_symmetry_space_group_name_Hall '-I 4 2'
loop_
_atom_site_label
_atom_site_fract_x
_atom_site_fract_y
_atom_site_fract_z
_atom_site_occupancy
Cs1 0.000 0.000 0.141 1
Hf1 0.000 0.000 0.500 1
I1 0.000 0.000 0.344 1
I2 0.000 0.500 0.000 1
```

=====

Entry 2:
Density functional theory data (PBE) for a relaxed structure of CsHfI2.

Calculated values
The calculation puts the total DFT energy (no corrections) at -0.263 Ry per atom. As for the density of states at the Fermi level: 0.733 states/eV per atom.

```
data_CsHfI2
_chemical_formula_sum 'Cs4 Hf4 I8'
_cell_length_a 7.213
_cell_length_b 7.213
_cell_length_c 16.411
_cell_angle_alpha 90.00
_cell_angle_beta 90.00
_cell_angle_gamma 90.00
_symmetry_space_group_name_H-M 'I -4 2 d'
_symmetry_Int_Tables_number 122
_symmetry_space_group_name_Hall 'I -4 2bw'
loop_
_atom_site_label
_atom_site_fract_x
_atom_site_fract_y
_atom_site_fract_z
_atom_site_occupancy
Cs1 0.000 0.000 0.000 1
Hf1 0.000 0.000 0.500 1
I1 0.132 0.250 0.625 1
```

=====

One value per record, in order, for spin magnetization: 0.2456 0.7061 μB/atom.